1.
! GGA-PBE BaLuSn2, optimized geometry; values from VASP
! Calculated volume, Å³ per cell: 125.4
! E_form, eV/atom: -0.57
&SYSTEM
  ibrav = 0, nat = 4, ntyp = 3
/
ATOMIC_SPECIES
Ba 137.33 Ba.upf
Lu 174.97 Lu.upf
Sn 118.71 Sn.upf
CELL_PARAMETERS angstrom
4.0581 0.0000 0.0000
0.0000 4.0581 0.0000
0.0000 0.0000 7.6134
ATOMIC_POSITIONS crystal
Ba 0.0000 0.0000 0.0000
Lu 0.0000 0.0000 0.5000
Sn 0.5000 0.5000 0.3037
Sn 0.5000 0.5000 0.6963


2.
! GGA-PBE Gd2TlO, optimized geometry; values from VASP
! Calculated volume, Å³ per cell: 88.4
! Raw formation energy, eV/atom: -1.525
! Distance to the lowest polymorph of the same formula, eV/f.u.: 0.00
&SYSTEM
  ibrav = 0, nat = 4, ntyp = 3
/
ATOMIC_SPECIES
Gd 157.25 Gd.upf
Tl 204.38 Tl.upf
O 16.00 O.upf
CELL_PARAMETERS angstrom
1.8094 1.0447 7.7917
-1.8094 1.0447 7.7917
0.0000 -2.0894 7.7917
ATOMIC_POSITIONS crystal
Gd 0.2234 0.2234 0.2234
Gd 0.7766 0.7766 0.7766
Tl 0.0000 0.0000 0.0000
O 0.5000 0.5000 0.5000


3.
! GGA-PBE PmSc8Sn6, optimized geometry; values from VASP
! Calculated volume, Å³ per cell: 396.9
! E_form, eV/atom: -0.46
&SYSTEM
  ibrav = 0, nat = 15, ntyp = 3
/
ATOMIC_SPECIES
Pm 145.00 Pm.upf
Sc 44.96 Sc.upf
Sn 118.71 Sn.upf
CELL_PARAMETERS angstrom
4.3119 2.4895 6.1626
-4.3119 2.4895 6.1626
0.0000 -4.9790 6.1626
ATOMIC_POSITIONS crystal
Pm 0.0000 0.0000 0.0000
Sc 0.1066 0.7771 0.4339
Sc 0.2229 0.5661 0.8934
Sc 0.3329 0.3329 0.3329
Sc 0.4339 0.1066 0.7771
Sc 0.5661 0.8934 0.2229
Sc 0.6671 0.6671 0.6671
Sc 0.7771 0.4339 0.1066
Sc 0.8934 0.2229 0.5661
Sn 0.0691 0.4134 0.7249
Sn 0.2751 0.9309 0.5866
Sn 0.4134 0.7249 0.0691
Sn 0.5866 0.2751 0.9309
Sn 0.7249 0.0691 0.4134
Sn 0.9309 0.5866 0.2751